# 1
The following is a DFT calculation (PBE-GGA) of a geometry-optimized PmHoHgAu structure.

Summary:
energy above the lowest structure with this stoichiometry = 0.00 eV per formula unit
density = 11.61 g/cm³
formation energy from the elements = -651.6 meV/atom
E = -3.88 eV per atom

```
PmHoHgAu
1.0
-1.5369 0.1101 -3.3514
0.1262 -3.6822 -0.1788
-6.7534 -0.3812 3.0845
Pm Ho Hg Au
1 1 1 1
Cartesian
-1.4837 -1.8300 -1.4096
-4.7108 -2.0121 0.0643
-5.6961 -0.3215 2.6016
-2.5405 -0.1434 1.1603
```

---

# 2
The following is a DFT calculation (PBE-GGA) of a geometry-optimized Pm4GaPt2 structure.

Summary:
density = 8.63 g/cm³
formation energy from the elements = -742.1 meV/atom
E = -5.62 eV per atom

```
Pm4GaPt2
1.0
-3.4522 -1.7020 -1.7333
1.8980 -6.7999 2.8969
-2.3361 5.1544 4.7319
Pm Ga Pt
4 1 2
Cartesian
-4.2203 0.7601 2.5192
0.3299 -4.1076 3.3763
-2.0310 -2.1570 1.0230
-1.8594 -1.1905 4.8725
0.0000 0.0000 0.0000
-2.5311 -3.7103 3.5443
-1.3593 0.3628 2.3511
```

---

# 3
The following is a DFT calculation (PBE-GGA) of a geometry-optimized MnCdOs2 structure.

Summary:
density = 14.62 g/cm³
formation energy from the elements = 621.9 meV/atom
E = -7.51 eV per atom

```
MnCdOs2
1.0
-2.8471 -0.0778 0.4886
-0.7373 -1.0468 -4.4628
0.2968 -4.5164 1.0103
Cd Mn Os
1 1 2
Cartesian
-1.2751 -2.2971 0.7495
-0.2202 -2.7816 -1.7262
0.0000 0.0000 0.0000
-1.7922 -0.5623 -1.9871
```

---

# 4
The following is a DFT calculation (PBE-GGA) of a geometry-optimized V2SiRh6 structure.

Summary:
density = 8.94 g/cm³
E = -7.86 eV per atom
formation energy without anion corrections = -283 kJ/mol of formula units

```
V2SiRh6
1.0
3.9637 0.0000 -0.1534
0.0000 5.7595 0.0000
-1.7505 -2.8798 6.1455
V Si Rh
2 1 6
Cartesian
2.0589 2.8798 1.9217
0.1542 0.0000 4.0705
0.0000 0.0000 0.0000
0.0766 1.4087 2.0006
2.1365 -1.4711 3.9916
2.1365 1.4711 3.9916
1.9818 1.4138 -0.0767
0.0766 4.3508 2.0006
1.9818 4.3457 -0.0767
```